Below is a geometry-optimized Ru3W structure, with properties calculated at the PBEsol level.

ΔH_f (0 K) (eV per atom): 0.0789
Space-group type: No. 12
DOS(E_F) (states/eV per atom): 0.91

Cell: 2.715 4.666 4.679 Å, 99.81 90.00 106.92°
Element x y z (fractional)
W1 0.500 0.000 0.000
Ru1 0.252 0.504 0.260
Ru2 0.748 0.496 0.740
Ru3 0.000 0.000 0.500

***

Below is a geometry-optimized Ru3W2 structure, with properties calculated at the PBEsol level.

ΔH_f (0 K) (eV per atom): 0.0540
Space-group type: No. 43
DOS(E_F) (states/eV per atom): 0.57

Cell: 4.801 5.212 6.931 Å, 99.18 110.27 62.57°
Element x y z (fractional)
Ru1 0.797 0.388 0.306
W1 0.542 0.569 0.897
W2 0.361 0.931 0.397
Ru2 0.880 0.612 0.694
Ru3 0.317 0.500 0.500
W3 0.214 0.431 0.103
Ru4 0.741 0.888 0.194
Ru5 0.067 0.000 0.000
Ru6 0.435 0.112 0.806
W4 0.895 0.069 0.603

***

Below is a geometry-optimized Ru5W4 structure, with properties calculated at the PBEsol level.

ΔH_f (0 K) (eV per atom): 0.0543
Space-group type: No. 139
DOS(E_F) (states/eV per atom): 0.81

Cell: 3.822 6.138 6.138 Å, 84.44 71.86 71.86°
Element x y z (fractional)
W1 0.000 0.319 0.681
Ru1 0.664 0.000 0.671
Ru2 0.000 0.000 0.000
Ru3 0.664 0.671 0.000
Ru4 0.336 0.329 0.000
W2 0.319 0.681 0.681
W3 0.681 0.319 0.319
W4 0.000 0.681 0.319
Ru5 0.336 0.000 0.329

***

Below is a geometry-optimized Ru3W structure, with properties calculated at the PBEsol level.

ΔH_f (0 K) (eV per atom): -0.0032
Space-group type: No. 59
DOS(E_F) (states/eV per atom): 0.92

Cell: 4.695 5.421 13.106 Å, 90.00 90.00 90.00°
Element x y z (fractional)
Ru1 0.165 0.748 0.665
W1 0.996 0.500 0.500
Ru2 0.835 0.752 0.165
Ru3 0.500 0.252 0.500
W2 0.004 0.000 0.000
Ru4 0.663 0.500 0.334
W3 0.337 0.500 0.162
Ru5 0.005 0.000 0.500
Ru6 0.835 0.752 0.835
Ru7 0.835 0.248 0.835
Ru8 0.500 0.748 0.500
W4 0.663 0.000 0.662
Ru9 0.500 0.248 0.000
Ru10 0.165 0.748 0.335
W5 0.337 0.500 0.838
Ru11 0.337 0.000 0.166
W6 0.663 0.000 0.338
Ru12 0.663 0.500 0.666
Ru13 0.337 0.000 0.834
Ru14 0.165 0.252 0.335
Ru15 0.835 0.248 0.165
Ru16 0.165 0.252 0.665
Ru17 0.995 0.500 0.000
Ru18 0.500 0.752 0.000

***

Looking at theoretical density for the records above, in order, we have 14.5 15.4 15.8 14.5 g/cm3.